# 1
A geometry-optimized PmPr4Sm7 structure. Source: Alexandria, functional PBE.

Energy of formation (meV/atom): 12
Calculated density (Mg/m³): 7.01
E (eV/f.u.): -56.76
SG: P-1, No. 2
Offset from the most stable computed form (eV per atom): 0.000

```
PmPr4Sm7
1.0
6.5529 -1.9093 2.7864
0.7456 5.9085 2.2928
2.8771 -2.3826 11.1184
Pr Sm Pm
4 7 1
Cartesian
5.9310 -1.0599 9.6806
4.2446 2.6764 6.5170
7.9504 1.4069 11.5329
2.2253 0.2097 4.6647
5.5033 -0.7559 6.0562
4.6724 2.3725 10.1414
2.6732 -0.1159 8.3050
7.5024 1.7325 7.8926
3.2764 -0.9547 1.3932
8.1773 -0.8642 14.3515
1.9984 2.4808 1.8460
0.0000 0.0000 0.0000
```

# 2
A geometry-optimized HfSnSN2 structure. Source: Alexandria, functional PBE.

Calculated density (Mg/m³): 6.56
E (eV/f.u.): -34.85
Raw formation energy (kJ/mol of formula units): -11
SG: P4/mmm, No. 123
Offset from the most stable computed form (eV per atom): 0.000

```
HfSnSN2
1.0
-2.6963 0.4724 3.1175
1.5373 -3.3844 1.8424
3.4853 2.9784 2.5631
S N Hf Sn
1 2 1 1
Cartesian
1.7427 1.4892 1.2816
0.7686 -1.6922 0.9212
-1.3481 0.2362 1.5588
0.0000 0.0000 0.0000
1.1632 0.0332 3.7615
```

# 3
A geometry-optimized Pr3Er12Ag5 structure. Source: Alexandria, functional PBE.

Energy of formation (meV/atom): 474
Calculated density (Mg/m³): 7.02
E (eV/f.u.): -73.87
SG: Ia-3d, No. 230

```
Pr3Er12Ag5
1.0
15.3925 0.0000 0.0000
-5.1308 14.5122 0.0000
-5.1308 -7.2561 12.5679
Ag Er Pr
20 48 12
Cartesian
-5.1308 3.6280 6.2839
6.4135 3.6280 9.4259
1.2827 -3.6280 9.4259
5.1308 7.2561 0.0000
6.4135 -4.5350 10.9969
3.8481 10.8841 3.1420
5.1308 -3.6280 6.2839
-3.8481 8.1631 4.7130
-1.2827 3.6280 3.1420
2.5654 3.6280 6.2839
0.0000 0.0000 0.0000
8.9789 -0.9070 7.8549
-1.2827 0.9070 7.8549
6.4135 6.3491 4.7130
1.2827 4.5350 10.9969
-1.2827 11.7911 1.5710
-2.5654 -3.6280 6.2839
7.6962 0.0000 0.0000
3.8481 2.7210 1.5710
-2.5654 7.2561 0.0000
9.7550 0.8409 5.7718
3.6300 6.0207 5.0885
-1.5008 -3.7891 8.9538
10.1551 1.4067 0.5121
1.9009 -1.9359 11.6057
-1.5008 5.0245 11.0935
5.0243 2.4811 7.2462
7.8028 13.1054 0.5121
0.1066 4.7749 5.3217
10.9261 7.1214 2.1577
-2.6720 3.3682 7.7583
-0.6645 9.0573 1.1955
1.9009 1.8013 11.3724
-3.0721 8.2061 9.8981
-5.7953 0.1347 10.4102
5.7953 1.9359 11.6057
5.7953 -1.8013 11.3724
7.1896 8.0970 6.7961
9.1970 -5.0245 11.0935
1.5008 1.2354 7.4794
-2.0587 -0.8409 5.7718
-4.6241 6.4152 6.7961
6.1954 -1.2354 7.4794
4.6241 -1.7909 4.1263
3.0721 1.7909 4.1263
7.0317 7.3907 2.1577
8.2029 -0.9500 2.6698
-0.6645 5.3201 0.9622
3.2299 5.4548 1.1955
11.3262 3.4670 3.6141
-0.5067 0.9500 2.6698
-2.6720 -5.8493 12.0557
3.2299 9.1920 0.9622
-5.0243 5.8493 12.0557
6.6316 2.2316 1.4744
0.5067 9.0470 8.4416
-4.0662 12.2805 1.4744
-1.9009 -0.1347 10.4102
6.6316 11.0451 3.6141
2.0587 5.4651 8.4416
7.8028 3.8879 4.8096
-6.1954 3.7891 8.9538
5.6375 6.3060 9.8981
10.3682 -3.3682 7.7583
2.6720 -2.4811 7.2462
-1.0646 8.4915 5.0885
2.4589 9.7372 5.3217
-5.2374 10.6243 4.8096
1.2827 -0.9070 4.7130
-3.8481 -2.7210 10.9969
8.9789 9.9771 1.5710
-6.4135 7.2561 9.4259
11.5443 0.0000 3.1420
1.2827 7.2561 3.1420
3.8481 0.0000 9.4259
-1.2827 6.3491 7.8549
-3.8481 2.7210 10.9969
8.9789 4.5350 1.5710
6.4135 0.9070 4.7130
3.8481 8.1631 7.8549
```

What is the E in the third record?
-73.87 eV/f.u.